Material: AsRhBr2
Method: DFT, PBE-GGA
State: optimized geometry

Output
DFT total energy (eV per atom): -3.38
Energy relative to the elements, uncorrected (eV/atom): 0.458
Calculated volume (Å³ per atom): 22.0
Excess energy over the best structure of this formula in the dataset (meV per atom): 889

Unit cell a=6.1908 b=7.5255 c=7.5587 alpha=90.00 beta=90.00 gamma=90.00
Last column: nearest neighbours and their distance in Å.
Space group Fmmm (No. 69)
Symmetry-distinct sites (fractional):
As 0.0000 0.0000 0.0000 x4  4 Br 2.67
Rh 0.0000 0.0000 0.5000 x4  4 Br 2.67
Br 0.0000 0.2500 0.2500 x8  2 As 2.67, 2 Rh 2.67

=====

Material: As2RhBr
Method: DFT, PBE-GGA
State: optimized geometry

Output
DFT total energy (eV per atom): -4.62
Energy relative to the elements, uncorrected (eV/atom): -0.037
Calculated volume (Å³ per atom): 23.0
Excess energy over the best structure of this formula in the dataset (meV per atom): 110

Unit cell a=2.9489 b=2.9489 c=10.5575 alpha=90.00 beta=90.00 gamma=90.00
Last column: nearest neighbours and their distance in Å.
Space group P4/mmm (No. 123)
Symmetry-distinct sites (fractional):
As 0.0000 0.0000 0.1557 x2  4 Rh 2.66, 4 As 2.95
Rh 0.5000 0.5000 0.0000 x1  8 As 2.66, 4 Rh 2.95
Br 0.5000 0.5000 0.5000 x1  4 Br 2.95

=====

Material: As2RhBr
Method: DFT, PBE-GGA
State: optimized geometry

Output
DFT total energy (eV per atom): -4.73
Energy relative to the elements, uncorrected (eV/atom): -0.147
Calculated volume (Å³ per atom): 22.0
Excess energy over the best structure of this formula in the dataset (meV per atom): 0

Unit cell a=7.4802 b=3.3799 c=7.8196 alpha=90.00 beta=116.86 gamma=90.00
Last column: nearest neighbours and their distance in Å.
Space group C2/m (No. 12)
Symmetry-distinct sites (fractional):
As 0.1244 0.0000 0.3381 x4  3 Rh 2.51-2.53
Rh 0.0000 0.5000 0.5000 x2  6 As 2.51-2.53
Br 0.0000 0.5000 0.0000 x2  4 As 2.91

=====

Material: As2RhBr
Method: DFT, PBE-GGA
State: optimized geometry

Output
DFT total energy (eV per atom): -4.06
Energy relative to the elements, uncorrected (eV/atom): 0.520
Calculated volume (Å³ per atom): 18.1
Excess energy over the best structure of this formula in the dataset (meV per atom): 667

Unit cell a=6.6132 b=6.6132 c=6.6132 alpha=90.00 beta=90.00 gamma=90.00
Last column: nearest neighbours and their distance in Å.
Space group Fm-3m (No. 225)
Symmetry-distinct sites (fractional):
As 0.2500 0.2500 0.2500 x8  4 Br 2.86, 4 Rh 2.86
Rh 0.0000 0.0000 0.0000 x4  8 As 2.86
Br 0.0000 0.0000 0.5000 x4  8 As 2.86

=====

Material: AsRh2Br
Method: DFT, PBE-GGA
State: optimized geometry

Output
DFT total energy (eV per atom): -5.45
Energy relative to the elements, uncorrected (eV/atom): -0.192
Calculated volume (Å³ per atom): 20.5
Excess energy over the best structure of this formula in the dataset (meV per atom): 0

Unit cell a=6.8003 b=3.7863 c=6.4375 alpha=90.00 beta=99.06 gamma=90.00
Last column: nearest neighbours and their distance in Å.
Space group Cm (No. 8)
Symmetry-distinct sites (fractional):
As 0.0000 0.0000 0.0000 x2  6 Rh 2.40-2.49
Rh 0.2031 0.5000 0.1680 x2  3 As 2.44-2.49, 2 Br 2.69
Rh 0.3072 0.0000 0.8598 x2  3 As 2.40, 1 Br 2.52
Br 0.2839 0.0000 0.4654 x2  3 Rh 2.52-2.69

=====

Material: AsRhBr2
Method: DFT, PBE-GGA
State: optimized geometry

Output
DFT total energy (eV per atom): -3.80
Energy relative to the elements, uncorrected (eV/atom): 0.032
Calculated volume (Å³ per atom): 29.5
Excess energy over the best structure of this formula in the dataset (meV per atom): 462

Unit cell a=4.9229 b=13.7362 c=3.4841 alpha=90.00 beta=90.00 gamma=90.00
Last column: nearest neighbours and their distance in Å.
Space group Cmmm (No. 65)
Symmetry-distinct sites (fractional):
As 0.0000 0.0000 0.0000 x2  2 Rh 2.46
Rh 0.0000 0.5000 0.0000 x2  2 As 2.46, 4 Br 2.52
Br 0.0000 0.3670 0.5000 x4  2 Rh 2.52

=====

Material: AsRh2Br
Method: DFT, PBE-GGA
State: optimized geometry

Output
DFT total energy (eV per atom): -5.43
Energy relative to the elements, uncorrected (eV/atom): -0.170
Calculated volume (Å³ per atom): 18.7
Excess energy over the best structure of this formula in the dataset (meV per atom): 22

Unit cell a=3.7709 b=3.7709 c=18.2631 alpha=90.00 beta=90.00 gamma=120.00
Last column: nearest neighbours and their distance in Å.
Space group R-3m (No. 166, hexagonal axes)
Symmetry-distinct sites (fractional):
As 0.0000 0.0000 0.0000 x3  6 Rh 2.42
Rh 0.0000 0.0000 0.2758 x6  3 As 2.42
Br 0.0000 0.0000 0.5000 x3  6 Rh 2.95

=====

Material: As2RhBr
Method: DFT, PBE-GGA
State: optimized geometry

Output
DFT total energy (eV per atom): -4.45
Energy relative to the elements, uncorrected (eV/atom): 0.128
Calculated volume (Å³ per atom): 20.6
Excess energy over the best structure of this formula in the dataset (meV per atom): 274

Unit cell a=3.4537 b=3.4537 c=23.9850 alpha=90.00 beta=90.00 gamma=120.00
Last column: nearest neighbours and their distance in Å.
Space group R3m (No. 160, hexagonal axes)
Symmetry-distinct sites (fractional):
As 0.0000 0.0000 0.0000 x3  3 As 2.81
As 0.0000 0.0000 0.2509 x3  3 Rh 2.46
Rh 0.0000 0.0000 0.5245 x3  3 As 2.46, 3 Br 2.66
Br 0.0000 0.0000 0.7844 x3  3 Rh 2.66

=====

Material: AsRh2Br
Method: DFT, PBE-GGA
State: optimized geometry

Output
DFT total energy (eV per atom): -5.05
Energy relative to the elements, uncorrected (eV/atom): 0.211
Calculated volume (Å³ per atom): 20.8
Excess energy over the best structure of this formula in the dataset (meV per atom): 403

Unit cell a=3.5378 b=6.4554 c=7.2900 alpha=90.00 beta=90.00 gamma=90.00
Last column: nearest neighbours and their distance in Å.
Space group Immm (No. 71)
Symmetry-distinct sites (fractional):
As 0.0000 0.0000 0.0000 x2  4 Rh 2.31
Rh 0.0000 0.5000 0.2960 x4  2 As 2.31
Br 0.0000 0.0000 0.5000 x2  4 Rh 2.79

=====

Material: As2RhBr
Method: DFT, PBE-GGA
State: optimized geometry

Output
DFT total energy (eV per atom): -4.63
Energy relative to the elements, uncorrected (eV/atom): -0.049
Calculated volume (Å³ per atom): 22.6
Excess energy over the best structure of this formula in the dataset (meV per atom): 98

Unit cell a=3.4626 b=3.9788 c=13.1079 alpha=90.00 beta=90.00 gamma=90.00
Last column: nearest neighbours and their distance in Å.
Space group Imm2 (No. 44)
Symmetry-distinct sites (fractional):
As 0.0000 0.0000 0.0000 x2  2 As 2.55, 2 Rh 2.58
As 0.0000 0.5000 0.1217 x2  2 As 2.55, 4 Rh 2.66
Rh 0.0000 0.5000 0.6459 x2  6 As 2.58-2.66, 2 Br 2.77
Br 0.0000 0.0000 0.3110 x2  2 Rh 2.77

=====

Material: AsRhBr2
Method: DFT, PBE-GGA
State: optimized geometry

Output
DFT total energy (eV per atom): -3.46
Energy relative to the elements, uncorrected (eV/atom): 0.381
Calculated volume (Å³ per atom): 22.5
Excess energy over the best structure of this formula in the dataset (meV per atom): 811

Unit cell a=3.5308 b=3.5308 c=25.0479 alpha=90.00 beta=90.00 gamma=120.00
Last column: nearest neighbours and their distance in Å.
Space group R-3m (No. 166, hexagonal axes)
Symmetry-distinct sites (fractional):
As 0.0000 0.0000 0.0000 x3  6 Br 3.32, 6 As 3.53
Rh 0.0000 0.0000 0.5000 x3  6 Br 2.56
Br 0.0000 0.0000 0.2285 x6  3 Rh 2.56

=====

Material: AsRhBr2
Method: DFT, PBE-GGA
State: optimized geometry

Output
DFT total energy (eV per atom): -3.12
Energy relative to the elements, uncorrected (eV/atom): 0.721
Calculated volume (Å³ per atom): 19.9
Excess energy over the best structure of this formula in the dataset (meV per atom): 1151

Unit cell a=4.8486 b=4.8486 c=3.3909 alpha=90.00 beta=90.00 gamma=90.00
Last column: nearest neighbours and their distance in Å.
Space group P4/mmm (No. 123)
Symmetry-distinct sites (fractional):
As 0.0000 0.0000 0.0000 x1  8 Br 2.96
Rh 0.5000 0.5000 0.0000 x1  8 Br 2.96
Br 0.0000 0.5000 0.5000 x2  4 As 2.96, 4 Rh 2.96

=====

Please write out number 3 again, unchanged.
Material: As2RhBr
Method: DFT, PBE-GGA
State: optimized geometry

Output
DFT total energy (eV per atom): -4.73
Energy relative to the elements, uncorrected (eV/atom): -0.147
Calculated volume (Å³ per atom): 22.0
Excess energy over the best structure of this formula in the dataset (meV per atom): 0

Unit cell a=7.4802 b=3.3799 c=7.8196 alpha=90.00 beta=116.86 gamma=90.00
Last column: nearest neighbours and their distance in Å.
Space group C2/m (No. 12)
Symmetry-distinct sites (fractional):
As 0.1244 0.0000 0.3381 x4  3 Rh 2.51-2.53
Rh 0.0000 0.5000 0.5000 x2  6 As 2.51-2.53
Br 0.0000 0.5000 0.0000 x2  4 As 2.91

=====

> Among the records above, which one has the highest calculated volume?

number 6

=====

> excess energy over the best structure of this formula in the dataset of number 9 (AsRh2Br)?

403 meV per atom

=====

> energy relative to the elements, uncorrected of number 4 (As2RhBr)?

0.520 eV/atom